Record 1
This record from the Alexandria database describes NdSmDyAg after structural relaxation. The functional is GGA-PBE.

Cell lengths 3.6587, 3.6587, 8.8294 Å; angles 90.00, 90.00, 90.00 degrees
Positions (direct):
Nd: 0.0000 0.0000 0.0761
Sm: 0.5000 0.5000 0.7825
Dy: 0.5000 0.5000 0.3641
Ag: 0.0000 0.0000 0.5619

Computed properties:
The calculation puts the distance to the lowest polymorph of the same formula at 0 meV per atom. The value obtained for the energy of formation is -125 meV per atom.

=====

Record 2
This record from the Alexandria database describes NdDyAg2Te4 after structural relaxation. The functional is GGA-PBE.

Cell lengths 7.4439, 7.1099, 7.1099 Å; angles 63.21, 58.43, 58.43 degrees
Positions (direct):
Nd: 0.0000 0.0000 0.0000
Dy: 0.5000 0.5000 0.5000
Ag: 0.1487 0.3513 0.3513
Ag: 0.8513 0.6487 0.6487
Te: 0.4302 0.0845 0.5956
Te: 0.1104 0.9155 0.4044
Te: 0.8896 0.5956 0.0845
Te: 0.5698 0.4044 0.9155

Computed properties:
The value obtained for the uncorrected formation energy is -724 meV/atom.

=====

Record 3
This record from the Alexandria database describes NdDy2Tl2Ag2 after structural relaxation. The functional is GGA-PBE.

Cell lengths 4.9332, 4.9332, 9.1793 Å; angles 74.41, 74.41, 60.00 degrees
Positions (direct):
Nd: 0.0000 0.0000 0.0000
Dy: 0.1333 0.1333 0.6002
Dy: 0.8667 0.8667 0.3998
Tl: 0.7368 0.7368 0.7897
Tl: 0.2632 0.2632 0.2103
Ag: 0.5627 0.5627 0.3118
Ag: 0.4373 0.4373 0.6882

Computed properties:
The value obtained for the energy of formation is -186 meV per atom.

=====

Record 4
This record from the Alexandria database describes NdDyTlAg after structural relaxation. The functional is GGA-PBE.

Cell lengths 5.3508, 5.3508, 5.3508 Å; angles 60.00, 60.00, 60.00 degrees
Positions (direct):
Tl: 0.7500 0.7500 0.7500
Nd: 0.5000 0.5000 0.5000
Ag: 0.2500 0.2500 0.2500
Dy: 0.0000 0.0000 0.0000

Computed properties:
The calculation puts the distance to the lowest polymorph of the same formula at 9 meV per atom. The value obtained for the energy of formation is -322 meV per atom.

=====

Record 5
This record from the Alexandria database describes NdDyTlAg after structural relaxation. The functional is GGA-PBE.

Cell lengths 3.6968, 3.6968, 7.8813 Å; angles 90.00, 90.00, 90.00 degrees
Positions (direct):
Nd: 0.0000 0.0000 0.8461
Dy: 0.0000 0.0000 0.3759
Tl: 0.5000 0.5000 0.1190
Ag: 0.5000 0.5000 0.5870

Computed properties:
The calculation puts the distance to the lowest polymorph of the same formula at 0 meV per atom. The value obtained for the energy of formation is -331 meV per atom.

=====

Record 6
This record from the Alexandria database describes NdDyYAg after structural relaxation. The functional is GGA-PBE.

Cell lengths 3.6307, 3.6307, 8.8113 Å; angles 90.00, 90.00, 90.00 degrees
Positions (direct):
Nd: 0.0000 0.0000 0.0691
Dy: 0.5000 0.5000 0.7784
Y: 0.5000 0.5000 0.3637
Ag: 0.0000 0.0000 0.5735

Computed properties:
The value obtained for the energy of formation is -137 meV per atom.

=====

Record 7
This record from the Alexandria database describes Dy7Ni2Ag2 after structural relaxation. The functional is GGA-PBE.

Cell lengths 6.6908, 6.9657, 6.6908 Å; angles 90.00, 109.86, 90.00 degrees
Positions (direct):
Dy: 0.9998 0.2496 0.5003
Dy: 0.5003 0.7504 0.9998
Dy: 0.0002 0.7504 0.4997
Dy: 0.4997 0.2496 0.0002
Dy: 0.0000 0.0000 0.0000
Dy: 0.5002 0.7568 0.4998
Dy: 0.4998 0.2432 0.5002
Ni: 0.7052 0.0000 0.2948
Ni: 0.2948 0.0000 0.7052
Ag: 0.8204 0.5000 0.8204
Ag: 0.1796 0.5000 0.1796

Computed properties:
The calculation puts the distance to the lowest polymorph of the same formula at 107 meV per atom. The value obtained for the energy of formation is -137 meV per atom.

=====

Record 8
This record from the Alexandria database describes Dy3Ni2Ag after structural relaxation. The functional is GGA-PBE.

Cell lengths 3.4449, 3.4449, 10.5384 Å; angles 90.00, 90.00, 90.00 degrees
Positions (direct):
Dy: 0.0000 0.0000 0.0000
Dy: 0.0000 0.0000 0.6884
Dy: 0.0000 0.0000 0.3116
Ni: 0.5000 0.5000 0.8401
Ni: 0.5000 0.5000 0.1599
Ag: 0.5000 0.5000 0.5000

Computed properties:
The value obtained for the energy of formation is -361 meV per atom.

=====

Record 9
This record from the Alexandria database describes Dy5Ni2Ag2 after structural relaxation. The functional is GGA-PBE.

Cell lengths 7.1653, 7.6073, 8.5785 Å; angles 90.00, 65.31, 90.00 degrees
Positions (direct):
Dy: 0.0000 0.0000 0.0000
Dy: 0.5000 0.5000 0.0000
Dy: 0.4525 0.1806 0.7491
Dy: 0.7984 0.8194 0.7491
Dy: 0.2984 0.6806 0.7491
Dy: 0.9525 0.3194 0.7491
Dy: 0.5475 0.8194 0.2509
Dy: 0.2016 0.1806 0.2509
Dy: 0.7016 0.3194 0.2509
Dy: 0.0475 0.6806 0.2509
Ni: 0.1172 0.3787 0.0000
Ni: 0.8828 0.6213 0.0000
Ni: 0.3828 0.8787 0.0000
Ni: 0.6172 0.1213 0.0000
Ag: 0.2147 0.0000 0.5706
Ag: 0.7147 0.5000 0.5706
Ag: 0.7853 0.0000 0.4294
Ag: 0.2853 0.5000 0.4294

Computed properties:
The value obtained for the energy of formation is -299 meV per atom.

=====

Record 10
This record from the Alexandria database describes Dy3NiAg after structural relaxation. The functional is GGA-PBE.

Cell lengths 5.3379, 6.6069, 8.5356 Å; angles 112.37, 90.00, 113.83 degrees
Positions (direct):
Dy: 0.8993 0.7985 0.7650
Dy: 0.1007 0.2015 0.2350
Dy: 0.6068 0.2136 0.8875
Dy: 0.3932 0.7864 0.1125
Dy: 0.8235 0.6469 0.3349
Dy: 0.1765 0.3531 0.6651
Ni: 0.1480 0.2960 0.9590
Ni: 0.8520 0.7040 0.0410
Ag: 0.3895 0.7790 0.5309
Ag: 0.6105 0.2210 0.4691

Computed properties:
The calculation puts the distance to the lowest polymorph of the same formula at 44 meV per atom. The value obtained for the energy of formation is -215 meV per atom.

=====

Record 11
This record from the Alexandria database describes Dy6NiAg after structural relaxation. The functional is GGA-PBE.

Cell lengths 6.7134, 6.7178, 7.3459 Å; angles 62.83, 62.85, 60.00 degrees
Positions (direct):
Dy: 0.0534 0.4180 0.7603
Dy: 0.7680 0.0531 0.7603
Dy: 0.5820 0.2317 0.2397
Dy: 0.2320 0.9469 0.2397
Dy: 0.9466 0.5820 0.2397
Dy: 0.4180 0.7683 0.7603
Ni: 0.0000 0.0000 0.0000
Ag: 0.5000 0.5000 0.5000

Computed properties:
The value obtained for the energy of formation is 27 meV per atom.

=====

Record 12
This record from the Alexandria database describes Dy4Ni3Ag after structural relaxation. The functional is GGA-PBE.

Cell lengths 3.7159, 4.4601, 10.2188 Å; angles 90.00, 90.00, 90.00 degrees
Positions (direct):
Ni: 0.0000 0.5000 0.5747
Ni: 0.0000 0.0000 0.4278
Ni: 0.5000 0.0000 0.9188
Ag: 0.5000 0.5000 0.0751
Dy: 0.5000 0.5000 0.3747
Dy: 0.0000 0.5000 0.8462
Dy: 0.0000 0.0000 0.1452
Dy: 0.5000 0.0000 0.6374

Computed properties:
The value obtained for the energy of formation is -385 meV per atom.

=====

| no. | density (g/cm3) |
| --- | --- |
| 1 | 7.94 |
| 2 | 6.47 |
| 3 | 9.88 |
| 4 | 9.49 |
| 5 | 9.54 |
| 6 | 7.20 |
| 7 | 8.33 |
| 8 | 9.46 |
| 9 | 8.96 |
| 10 | 8.67 |
| 11 | 7.77 |
| 12 | 9.16 |